Record 1
! LiIr2W | Alexandria via LeMat-Bulk | PBE | relaxed; values from VASP
&SYSTEM
  ibrav = 0, nat = 4, ntyp = 3
/
ATOMIC_SPECIES
Li 6.94 Li.upf
Ir 192.22 Ir.upf
W 183.84 W.upf
ATOMIC_POSITIONS crystal
Li 0.0000 0.0000 0.0000
Ir 0.0000 0.0000 0.4977
Ir 0.5000 0.5000 0.8187
W 0.5000 0.5000 0.2702
CELL_PARAMETERS angstrom
3.2346 0.0000 0.0000
0.0000 3.2346 0.0000
0.0000 0.0000 5.5078
! Space group: P4mm, No. 99

---

Record 2
! LiIr3W | Alexandria via LeMat-Bulk | PBE | relaxed; values from VASP
&SYSTEM
  ibrav = 0, nat = 5, ntyp = 3
/
ATOMIC_SPECIES
Li 6.94 Li.upf
Ir 192.22 Ir.upf
W 183.84 W.upf
ATOMIC_POSITIONS crystal
Li 0.0000 0.0000 0.0000
Ir 0.0000 0.5000 0.5000
Ir 0.5000 0.0000 0.5000
Ir 0.5000 0.5000 0.0000
W 0.5000 0.5000 0.5000
CELL_PARAMETERS angstrom
4.7730 0.0000 0.0000
0.0000 4.7730 0.0000
0.0000 0.0000 4.7730
! Space group: Pm-3m, No. 221

---

Record 3
! LiIr2W | Alexandria via LeMat-Bulk | PBE | relaxed; values from VASP
&SYSTEM
  ibrav = 0, nat = 8, ntyp = 3
/
ATOMIC_SPECIES
Li 6.94 Li.upf
Ir 192.22 Ir.upf
W 183.84 W.upf
ATOMIC_POSITIONS crystal
Li 0.0000 0.0000 0.0000
Li 0.7500 0.2500 0.5000
Ir 0.1545 0.6250 0.0295
Ir 0.3750 0.4045 0.5295
Ir 0.5955 0.1250 0.9705
Ir 0.8750 0.8455 0.4705
W 0.2500 0.7500 0.5000
W 0.5000 0.5000 0.0000
CELL_PARAMETERS angstrom
-3.5139 3.5139 2.7090
3.5139 -3.5139 2.7090
3.5139 3.5139 -2.7090
! Space group: I-42d, No. 122

---

Record 4
! LiIrW2 | Alexandria via LeMat-Bulk | PBE | relaxed; values from VASP
&SYSTEM
  ibrav = 0, nat = 4, ntyp = 3
/
ATOMIC_SPECIES
Li 6.94 Li.upf
Ir 192.22 Ir.upf
W 183.84 W.upf
ATOMIC_POSITIONS crystal
Li 0.0000 0.0000 0.0000
Ir 0.5000 0.5000 0.7719
W 0.0000 0.0000 0.5438
W 0.5000 0.5000 0.2695
CELL_PARAMETERS angstrom
2.7651 0.0000 0.0000
0.0000 2.7651 0.0000
0.0000 0.0000 7.9521
! Space group: P4mm, No. 99

---

Record 5
! LiIr2W | Alexandria via LeMat-Bulk | PBE | relaxed; values from VASP
&SYSTEM
  ibrav = 0, nat = 4, ntyp = 3
/
ATOMIC_SPECIES
Li 6.94 Li.upf
Ir 192.22 Ir.upf
W 183.84 W.upf
ATOMIC_POSITIONS crystal
Li 0.0000 0.0000 0.0000
Ir 0.5000 0.5000 0.2479
Ir 0.5000 0.5000 0.7521
W 0.0000 0.0000 0.5000
CELL_PARAMETERS angstrom
1.4410 -2.3089 0.0000
1.4410 2.3089 0.0000
0.0000 0.0000 8.9255
! Space group: Cmmm, No. 65

---

Record 6
! LiIrW2 | Alexandria via LeMat-Bulk | PBE | relaxed; values from VASP
&SYSTEM
  ibrav = 0, nat = 4, ntyp = 3
/
ATOMIC_SPECIES
Li 6.94 Li.upf
Ir 192.22 Ir.upf
W 183.84 W.upf
ATOMIC_POSITIONS crystal
Li 0.0000 0.0000 0.0000
Ir 0.0000 0.0000 0.5000
W 0.5000 0.5000 0.2615
W 0.5000 0.5000 0.7385
CELL_PARAMETERS angstrom
3.3805 0.0000 0.0000
0.0000 3.3805 0.0000
0.0000 0.0000 5.3095
! Space group: P4/mmm, No. 123

---

Record 7
! LiIr2W | Alexandria via LeMat-Bulk | PBE | relaxed; values from VASP
&SYSTEM
  ibrav = 0, nat = 4, ntyp = 3
/
ATOMIC_SPECIES
Li 6.94 Li.upf
Ir 192.22 Ir.upf
W 183.84 W.upf
ATOMIC_POSITIONS crystal
Li 0.0000 0.0000 0.0000
Ir 0.5016 0.5000 0.8113
Ir 0.9993 0.0000 0.5047
W 0.4994 0.5000 0.2764
CELL_PARAMETERS angstrom
2.7336 0.0000 0.0000
0.0000 4.0168 0.0000
-0.0271 0.0000 5.2302
! Space group: Pm, No. 6

---

Record 8
! LiIr2W | Alexandria via LeMat-Bulk | PBE | relaxed; values from VASP
&SYSTEM
  ibrav = 0, nat = 4, ntyp = 3
/
ATOMIC_SPECIES
Li 6.94 Li.upf
Ir 192.22 Ir.upf
W 183.84 W.upf
ATOMIC_POSITIONS crystal
Li 0.0000 0.0000 0.0000
Ir 0.0000 0.0000 0.5291
Ir 0.5000 0.5000 0.7691
W 0.5000 0.5000 0.2793
CELL_PARAMETERS angstrom
2.7107 0.0000 0.0000
0.0000 2.7107 0.0000
0.0000 0.0000 8.0747
! Space group: P4mm, No. 99

---

Record 9
! LiIr2W | Alexandria via LeMat-Bulk | PBE | relaxed; values from VASP
&SYSTEM
  ibrav = 0, nat = 4, ntyp = 3
/
ATOMIC_SPECIES
Li 6.94 Li.upf
Ir 192.22 Ir.upf
W 183.84 W.upf
ATOMIC_POSITIONS crystal
Li 0.0000 0.0000 0.0000
Ir 0.4999 0.4999 0.0000
Ir 0.7502 0.2502 0.5000
W 0.2500 0.7500 0.5000
CELL_PARAMETERS angstrom
-1.8638 1.8698 4.0663
1.8638 -1.8698 4.0663
1.8638 1.8698 -4.0663
! Space group: Imm2, No. 44

---

Record 10
! LiIrW2 | Alexandria via LeMat-Bulk | PBE | relaxed; values from VASP
&SYSTEM
  ibrav = 0, nat = 4, ntyp = 3
/
ATOMIC_SPECIES
Li 6.94 Li.upf
Ir 192.22 Ir.upf
W 183.84 W.upf
ATOMIC_POSITIONS crystal
Li 0.0000 0.0000 0.0000
Ir 0.0000 0.0000 0.5000
W 0.4707 0.5000 0.2418
W 0.5293 0.5000 0.7582
CELL_PARAMETERS angstrom
2.7321 0.0000 0.0000
0.0000 4.1181 0.0000
-0.8641 0.0000 5.2006
! Space group: P2/m, No. 10

---

Record 11
! LiIr2W | Alexandria via LeMat-Bulk | PBE | relaxed; values from VASP
&SYSTEM
  ibrav = 0, nat = 4, ntyp = 3
/
ATOMIC_SPECIES
Li 6.94 Li.upf
Ir 192.22 Ir.upf
W 183.84 W.upf
ATOMIC_POSITIONS crystal
Li 0.0000 0.0000 0.0000
Ir 0.0000 0.5000 0.5000
Ir 0.5000 0.0000 0.5000
W 0.5000 0.5000 0.0000
CELL_PARAMETERS angstrom
2.8782 -3.6054 0.0000
2.8782 3.6054 0.0000
0.0000 0.0000 2.7840
! Space group: Cmmm, No. 65

---

Record 12
! LiIrW2 | Alexandria via LeMat-Bulk | PBE | relaxed; values from VASP
&SYSTEM
  ibrav = 0, nat = 4, ntyp = 3
/
ATOMIC_SPECIES
Li 6.94 Li.upf
Ir 192.22 Ir.upf
W 183.84 W.upf
ATOMIC_POSITIONS crystal
Li 0.0000 0.0000 0.0000
Ir 0.7474 0.7474 0.7474
W 0.2444 0.2444 0.2444
W 0.4902 0.4902 0.4902
CELL_PARAMETERS angstrom
1.3927 0.8041 9.3245
-1.3927 0.8041 9.3245
0.0000 -1.6081 9.3245
! Space group: R3m, No. 160

---

no.,Fermi-level density of states (states/eV/f.u.),formation energy from the elements (eV per atom)
1,3.1,0.1620
2,5.4,1.2904
3,1.7,0.3862
4,3.6,0.1917
5,2.9,0.0106
6,3.3,0.4470
7,1.9,-0.0923
8,3.6,0.2047
9,3.7,-0.0582
10,2.5,0.1387
11,3.1,-0.1119
12,3.4,0.1797